(1)
DFT (PBE) results for an optimized crystal structure of AgRuW2. Values from VASP.

Calculated values
Total DFT energy (no corrections) = -36.09 eV per formula unit
SG = No. 139
V = 62.6 Å³/cell
ΔE to the lowest computed polymorph = 0.1491 eV/atom
Size of the total moment = 0.00 μB/cell
DOS(E_F) = 3.732 states/eV/cell

Cell and atoms, written as Quantum ESPRESSO input:
```
&SYSTEM
  ibrav = 0, nat = 4, ntyp = 3
/
ATOMIC_SPECIES
Ag 107.87 Ag.upf
W 183.84 W.upf
Ru 101.07 Ru.upf
CELL_PARAMETERS angstrom
4.9459 0.0102 0.0000
1.8505 4.5866 0.0000
-3.3982 -2.2984 2.7625
ATOMIC_POSITIONS crystal
Ag 0.2500 0.7500 0.5000
W 0.0000 0.0000 0.0000
W 0.5000 0.5000 0.0000
Ru 0.7500 0.2500 0.5000
```

=====

(2)
DFT (PBE) results for an optimized crystal structure of Ag2RuW. Values from VASP.

Calculated values
Total DFT energy (no corrections) = -25.44 eV per formula unit
SG = No. 123
V = 64.8 Å³/cell
ΔE to the lowest computed polymorph = 0.3804 eV/atom
Size of the total moment = 0.00 μB/cell
DOS(E_F) = 3.028 states/eV/cell

Cell and atoms, written as Quantum ESPRESSO input:
```
&SYSTEM
  ibrav = 0, nat = 4, ntyp = 3
/
ATOMIC_SPECIES
Ag 107.87 Ag.upf
Ru 101.07 Ru.upf
W 183.84 W.upf
CELL_PARAMETERS angstrom
4.6141 0.0000 0.0000
0.0000 3.7469 0.0000
0.0000 0.0000 3.7469
ATOMIC_POSITIONS crystal
Ag 0.0000 0.5000 0.5000
Ag 0.0000 0.0000 0.0000
Ru 0.5000 0.5000 0.0000
W 0.5000 0.0000 0.5000
```

=====

(3)
DFT (PBE) results for an optimized crystal structure of AgRu2W. Values from VASP.

Calculated values
Total DFT energy (no corrections) = -32.94 eV per formula unit
SG = No. 65
V = 63.3 Å³/cell
ΔE to the lowest computed polymorph = 0.1430 eV/atom
Size of the total moment = 0.00 μB/cell
DOS(E_F) = 3.962 states/eV/cell

Cell and atoms, written as Quantum ESPRESSO input:
```
&SYSTEM
  ibrav = 0, nat = 4, ntyp = 3
/
ATOMIC_SPECIES
Ag 107.87 Ag.upf
W 183.84 W.upf
Ru 101.07 Ru.upf
CELL_PARAMETERS angstrom
2.7485 0.0083 0.0000
-1.0612 2.5353 0.0000
0.0000 0.0000 9.0711
ATOMIC_POSITIONS crystal
Ag 0.5000 0.5000 0.7500
W 0.5000 0.5000 0.2500
Ru 0.0000 0.0000 0.0196
Ru 0.0000 0.0000 0.4804
```

=====

(4)
DFT (PBE) results for an optimized crystal structure of Ag2RuW. Values from VASP.

Calculated values
Total DFT energy (no corrections) = -26.63 eV per formula unit
SG = No. 99
V = 67.2 Å³/cell
ΔE to the lowest computed polymorph = 0.0826 eV/atom
Size of the total moment = 0.00 μB/cell
DOS(E_F) = 3.465 states/eV/cell

Cell and atoms, written as Quantum ESPRESSO input:
```
&SYSTEM
  ibrav = 0, nat = 4, ntyp = 3
/
ATOMIC_SPECIES
Ru 101.07 Ru.upf
W 183.84 W.upf
Ag 107.87 Ag.upf
CELL_PARAMETERS angstrom
2.9137 0.0000 0.0000
0.0000 2.9137 0.0000
0.0000 0.0000 7.9108
ATOMIC_POSITIONS crystal
Ru 0.0000 0.0000 0.5263
W 0.5000 0.5000 0.7204
Ag 0.0000 0.0000 0.9949
Ag 0.5000 0.5000 0.2584
```

=====

(5)
DFT (PBE) results for an optimized crystal structure of AgRuW2. Values from VASP.

Calculated values
Total DFT energy (no corrections) = -36.09 eV per formula unit
SG = No. 12
V = 63.4 Å³/cell
ΔE to the lowest computed polymorph = 0.1474 eV/atom
Size of the total moment = 0.00 μB/cell
DOS(E_F) = 3.508 states/eV/cell

Cell and atoms, written as Quantum ESPRESSO input:
```
&SYSTEM
  ibrav = 0, nat = 4, ntyp = 3
/
ATOMIC_SPECIES
Ru 101.07 Ru.upf
W 183.84 W.upf
Ag 107.87 Ag.upf
CELL_PARAMETERS angstrom
4.9691 -0.0029 0.0115
4.1223 2.7748 0.0115
0.9747 0.2972 4.5986
ATOMIC_POSITIONS crystal
Ru 0.2500 0.2500 0.2500
W 0.9928 0.9928 0.0142
W 0.5072 0.5072 0.4858
Ag 0.7500 0.7500 0.7500
```

=====

(6)
DFT (PBE) results for an optimized crystal structure of Ag2RuW. Values from VASP.

Calculated values
Total DFT energy (no corrections) = -24.07 eV per formula unit
SG = No. 123
V = 65.8 Å³/cell
ΔE to the lowest computed polymorph = 0.7242 eV/atom
Size of the total moment = 0.63 μB/cell
DOS(E_F) = 3.770 states/eV/cell

Cell and atoms, written as Quantum ESPRESSO input:
```
&SYSTEM
  ibrav = 0, nat = 4, ntyp = 3
/
ATOMIC_SPECIES
Ag 107.87 Ag.upf
Ru 101.07 Ru.upf
W 183.84 W.upf
CELL_PARAMETERS angstrom
-3.1024 -3.7932 -0.2911
0.8726 -1.0751 4.7096
-2.0586 1.6259 0.7526
ATOMIC_POSITIONS crystal
Ag 0.0000 0.0000 0.0000
Ag 0.5000 0.5000 0.0000
Ru 0.5000 0.0000 0.5000
W 0.0000 0.5000 0.5000
```

=====

(7)
DFT (PBE) results for an optimized crystal structure of AgRuW2. Values from VASP.

Calculated values
Total DFT energy (no corrections) = -34.70 eV per formula unit
SG = No. 225
V = 64.0 Å³/cell
ΔE to the lowest computed polymorph = 0.4948 eV/atom
Size of the total moment = 0.00 μB/cell
DOS(E_F) = 6.594 states/eV/cell

Cell and atoms, written as Quantum ESPRESSO input:
```
&SYSTEM
  ibrav = 0, nat = 4, ntyp = 3
/
ATOMIC_SPECIES
Ag 107.87 Ag.upf
W 183.84 W.upf
Ru 101.07 Ru.upf
CELL_PARAMETERS angstrom
0.0000 3.1741 3.1741
3.1741 0.0000 3.1741
3.1741 3.1741 0.0000
ATOMIC_POSITIONS crystal
Ag 0.5000 0.5000 0.5000
W 0.7500 0.7500 0.7500
W 0.2500 0.2500 0.2500
Ru 0.0000 0.0000 0.0000
```

=====

(8)
DFT (PBE) results for an optimized crystal structure of AgRuW2. Values from VASP.

Calculated values
Total DFT energy (no corrections) = -35.75 eV per formula unit
SG = No. 216
V = 63.6 Å³/cell
ΔE to the lowest computed polymorph = 0.2347 eV/atom
Size of the total moment = 0.00 μB/cell
DOS(E_F) = 3.648 states/eV/cell

Cell and atoms, written as Quantum ESPRESSO input:
```
&SYSTEM
  ibrav = 0, nat = 4, ntyp = 3
/
ATOMIC_SPECIES
Ru 101.07 Ru.upf
Ag 107.87 Ag.upf
W 183.84 W.upf
CELL_PARAMETERS angstrom
4.4807 0.0000 0.0000
2.2404 3.8804 0.0000
2.2404 1.2935 3.6585
ATOMIC_POSITIONS crystal
Ru 0.7500 0.7500 0.7500
Ag 0.5000 0.5000 0.5000
W 0.0000 0.0000 0.0000
W 0.2500 0.2500 0.2500
```